Material: FeIr
Method: DFT, PBEsol
State: relaxed

abc: 4.8084 4.8084 4.4502
angles: 115.43 115.43 31.69
Element x y z (fractional)
1 Fe 0.1295 0.1295 0.2977
2 Fe 0.8705 0.8705 0.7023
3 Ir 0.3790 0.3790 0.2059
4 Ir 0.6210 0.6210 0.7941

Output
- Energy: -0.3460 Ha/atom

Material: FeIr3
Method: DFT, PBEsol
State: relaxed

abc: 4.6125 4.6125 4.6125
angles: 131.66 131.66 70.77
Element x y z (fractional)
1 Fe 0.0000 0.0000 0.0000
2 Ir 0.2500 0.7500 0.5000
3 Ir 0.5000 0.5000 0.0000
4 Ir 0.7500 0.2500 0.5000

Output
- Energy: -0.3546 Ha/atom

Material: FeIr
Method: DFT, PBEsol
State: relaxed

abc: 2.6967 2.6967 6.9334
angles: 90.00 90.00 90.00
Element x y z (fractional)
1 Fe 0.2500 0.2500 0.1120
2 Fe 0.7500 0.7500 0.8880
3 Ir 0.2500 0.2500 0.6398
4 Ir 0.7500 0.7500 0.3602

Output
- Energy: -0.3436 Ha/atom